(1)
Compound: Ti2NbSb
Source: the Alexandria database
Functional: PBE
Structure: relaxed

Values from the calculation:
* space-group type: No. 123
* ΔE_f (raw): -0.36 eV per atom

Structure (extended XYZ):
```
4
Lattice="-0.0860 0.5437 3.4452 -3.3701 -0.9008 0.0580 1.5434 -5.7138 0.9402" Properties=species:S:1:pos:R:3 pbc="T T T"
Ti 1.1686 -4.3263 0.7119
Ti 0.3748 -1.3875 0.2283
Sb -0.9564 -3.0354 2.2217
Nb -1.7280 -0.1785 1.7516
```

---

(2)
Compound: CrNiMoRh
Source: the Alexandria database
Functional: PBE
Structure: relaxed

Values from the calculation:
* space-group type: No. 216
* energy relative to the elements: 0.092 eV per atom

Structure (extended XYZ):
```
4
Lattice="4.2116 0.0000 0.0000 2.1058 3.6473 0.0000 2.1058 1.2158 3.4387" Properties=species:S:1:pos:R:3 pbc="T T T"
Mo 2.1058 1.2158 0.8597
Rh 6.3173 3.6473 2.5790
Ni 0.0000 0.0000 0.0000
Cr 4.2116 2.4315 1.7194
```

---

(3)
Compound: BaSbW2
Source: the Alexandria database
Functional: PBE
Structure: relaxed

Values from the calculation:
* space-group type: No. 216
* ΔE_f (raw): 1.26 eV per atom

Structure (extended XYZ):
```
4
Lattice="5.0283 0.0000 0.0000 2.5141 4.3546 0.0000 2.5141 1.4515 4.1056" Properties=species:S:1:pos:R:3 pbc="T T T"
Ba 5.0283 2.9031 2.0528
W 0.0000 0.0000 0.0000
W 2.5141 1.4515 1.0264
Sb 7.5424 4.3546 3.0792
```

---

(4)
Compound: ZrMo2
Source: the Alexandria database
Functional: PBE
Structure: relaxed

Values from the calculation:
* space-group type: No. 62
* energy relative to the elements: 0.099 eV per atom

Structure (extended XYZ):
```
12
Lattice="-2.0774 5.1149 -0.8567 -0.1982 -0.8672 -4.6973 -7.5052 -2.9054 0.8530" Properties=species:S:1:pos:R:3 pbc="T T T"
Zr -7.2668 -2.0199 -0.5370
Zr -5.8243 1.4981 -1.2473
Zr -2.5140 3.3622 -4.1640
Zr -3.9564 -0.1558 -3.4537
Mo -1.3991 0.8781 -3.7524
Mo -4.6787 -1.0619 -0.8230
Mo -6.9279 -0.4588 -3.2724
Mo -7.6425 2.2241 -3.7375
Mo -8.3816 0.4642 -0.9486
Mo -5.1021 2.4042 -3.8779
Mo -2.1383 -0.8818 -0.9634
Mo -2.8529 1.8011 -1.4286
```

---

(5)
Compound: Y2SbOs
Source: the Alexandria database
Functional: PBE
Structure: relaxed

Values from the calculation:
* space-group type: No. 71
* ΔE_f (raw): -0.30 eV per atom

Structure (extended XYZ):
```
4
Lattice="-5.0888 -0.3915 1.4335 -3.2393 -4.1965 -0.0113 -1.0666 -2.1835 4.3853" Properties=species:S:1:pos:R:3 pbc="T T T"
Sb -7.0460 -5.0786 4.3557
Y -4.8541 -3.4376 2.8398
Y -8.1714 -4.5361 1.4862
Os -2.3487 -1.6929 1.4519
```

---

(6)
Compound: LiZrTc2
Source: the Alexandria database
Functional: PBE
Structure: relaxed

Values from the calculation:
* space-group type: No. 123
* energy relative to the elements: 0.121 eV per atom

Structure (extended XYZ):
```
4
Lattice="-2.5532 -1.6900 3.1407 -1.7650 -2.1305 -2.5812 2.5201 -2.7663 0.5601" Properties=species:S:1:pos:R:3 pbc="T T T"
Li -0.0166 -2.2282 1.8504
Tc 0.3775 -2.4484 -1.0106
Tc 0.0000 0.0000 0.0000
Zr -2.1591 -1.9103 0.2798
```

---

(7)
Compound: AcTh2MoC4
Source: the Alexandria database
Functional: PBE
Structure: relaxed

Values from the calculation:
* space-group type: No. 63
* energy relative to the elements: -0.070 eV per atom

Structure (extended XYZ):
```
16
Lattice="3.7198 0.0000 0.0000 -1.8599 6.3963 0.0000 0.0000 0.0000 12.7748" Properties=species:S:1:pos:R:3 pbc="T T T"
C 0.0000 3.3362 4.7460
C 0.0000 0.0000 6.3874
C 0.0000 3.3362 1.6414
C 0.0000 5.2193 9.5811
C 0.0000 0.0000 0.0000
C 1.8599 3.0601 8.0288
C 1.8599 3.0601 11.1335
C 1.8599 1.1770 3.1937
Mo 0.0000 2.1707 3.1937
Mo 1.8599 4.2257 9.5811
Ac 1.8599 5.1500 3.1937
Ac 0.0000 1.2463 9.5811
Th 0.0000 4.7250 12.2476
Th 1.8599 1.6713 0.5272
Th 0.0000 4.7250 6.9146
Th 1.8599 1.6713 5.8602
```

---

(8)
Compound: K2NaAgHg
Source: the Alexandria database
Functional: PBE
Structure: relaxed

Values from the calculation:
* space-group type: No. 123
* energy relative to the elements: 0.019 eV per atom

Structure (extended XYZ):
```
5
Lattice="6.4011 0.0000 0.0000 0.0000 6.4011 0.0000 0.0000 0.0000 5.4905" Properties=species:S:1:pos:R:3 pbc="T T T"
K 3.2005 0.0000 0.0000
K 0.0000 3.2005 0.0000
Ag 0.0000 0.0000 0.0000
Hg 0.0000 0.0000 2.7453
Na 3.2005 3.2005 2.7453
```

---

(9)
Compound: AcNd3Dy12
Source: the Alexandria database
Functional: PBE
Structure: relaxed

Values from the calculation:
* space-group type: No. 123
* energy relative to the elements: 0.030 eV per atom

Structure (extended XYZ):
```
16
Lattice="-1.3843 -2.0053 -4.4615 4.8750 -0.1850 -1.4294 1.6065 -18.6775 7.8964" Properties=species:S:1:pos:R:3 pbc="T T T"
Dy 2.6453 -2.5082 0.3066
Dy 1.7453 -1.0952 -2.9455
Dy -0.0876 -8.0307 0.7405
Dy 3.4395 -11.7420 4.2104
Dy 0.3099 -12.6521 2.6943
Dy 2.1515 -5.8177 -0.9489
Dy 3.8362 -16.3543 6.1603
Dy 2.9457 -15.0502 2.9543
Dy 0.7066 -17.2645 4.6443
Dy 2.5486 -10.4339 1.0027
Dy -0.4844 -3.4184 -1.2095
Dy 3.0420 -7.1206 2.2566
Nd 0.8033 -9.3388 3.9482
Nd 1.2020 -13.9749 5.9082
Nd 0.4045 -4.7026 1.9881
Ac 0.0000 0.0000 0.0000
```

---

(10)
Compound: Cs2PrGaI6
Source: the Alexandria database
Functional: PBE
Structure: relaxed

Values from the calculation:
* space-group type: No. 59
* ΔE_f (raw): -1.27 eV per atom

Structure (extended XYZ):
```
20
Lattice="-8.3623 3.0554 0.6732 -2.9930 -8.4634 1.2344 1.4881 1.3055 12.5588" Properties=species:S:1:pos:R:3 pbc="T T T"
I -1.9215 -6.1492 4.0406
I -3.7031 -3.6580 0.8190
I -3.7747 0.5101 10.0034
I -7.7978 -2.1618 1.1487
I -1.1673 -5.4875 10.4059
I -2.0753 0.6572 0.1776
I -4.5086 -0.1337 3.8099
I -4.3548 -6.9401 7.6729
I -6.3503 2.2193 0.5217
I -6.9945 -1.0656 7.3750
I -8.4421 -5.4467 8.0019
I -2.7270 -2.6249 7.0314
Pr -2.2749 -6.4329 0.9383
Pr -4.1551 0.1500 6.9122
Ga -1.4616 -5.5842 7.1891
Ga -4.9685 -0.6987 0.6613
Cs 0.4158 -0.9487 9.4702
Cs -5.3578 -4.0287 10.9391
Cs -0.2746 -1.5543 3.6441
Cs -6.1555 -4.7285 4.2063
```

---

(11)
Compound: K2PrTlO4
Source: the Alexandria database
Functional: PBE
Structure: relaxed

Values from the calculation:
* space-group type: No. 10
* ΔE_f (raw): -1.78 eV per atom

Structure (extended XYZ):
```
8
Lattice="-2.0684 1.9804 2.1651 2.7752 -2.4933 4.9318 3.3413 5.5013 -1.8400" Properties=species:S:1:pos:R:3 pbc="T T T"
O 3.8085 3.4788 3.4326
O 3.4216 3.7071 -0.1222
O 2.6949 -0.6991 3.2140
O 0.2396 1.5097 1.8243
Pr 0.3534 -0.2564 3.5485
K 3.0583 1.5040 1.5459
K 0.6365 3.7409 0.1626
Tl 0.0000 0.0000 0.0000
```

---

(12)
Compound: LiYIn2
Source: the Alexandria database
Functional: PBE
Structure: relaxed

Values from the calculation:
* space-group type: No. 166
* energy relative to the elements: -0.374 eV per atom

Structure (extended XYZ):
```
4
Lattice="-4.6942 -0.1162 0.4994 -2.4208 -3.8230 -1.3500 -1.8362 -3.2772 4.3114" Properties=species:S:1:pos:R:3 pbc="T T T"
In -4.4275 -3.7827 2.1393
In -1.8844 -3.1028 3.9025
Y -2.2378 -1.8041 0.8652
Li -6.7135 -5.4124 2.5956
```

---

Number 1: size of the total moment 0.0 μB/cell, volume 18.2 A^3/atom. Number 2: size of the total moment 0.0 μB/cell, volume 13.2 A^3/atom. Number 3: size of the total moment 0.0 μB/cell, volume 22.5 A^3/atom. Number 4: size of the total moment 0.0 μB/cell, volume 18.0 A^3/atom. Number 5: size of the total moment 0.0 μB/cell, volume 23.0 A^3/atom. Number 6: size of the total moment 0.0 μB/cell, volume 15.7 A^3/atom. Number 7: size of the total moment 0.0 μB/cell, volume 19.0 A^3/atom. Number 8: size of the total moment 0.0 μB/cell, volume 45.0 A^3/atom. Number 9: size of the total moment 0.0 μB/cell, volume 32.9 A^3/atom. Number 10: size of the total moment 0.0 μB/cell, volume 51.4 A^3/atom. Number 11: size of the total moment 0.1 μB/cell, volume 17.6 A^3/atom. Number 12: size of the total moment 0.0 μB/cell, volume 24.3 A^3/atom.